The following is a PBE-GGA calculation of a geometry-optimized CdCo2Ge structure, from Alexandria via LeMat-Bulk.

Unit cell a=2.868 b=2.868 c=6.595 alpha=90.00 beta=90.00 gamma=90.00
Space group P4/mmm (No. 123)
Inequivalent atoms, fractional coordinates:
Cd1 0.000 0.000 0.000 [1 per cell]
Co1 0.500 0.500 0.296 [2 per cell]
Ge1 0.000 0.000 0.500 [1 per cell]

Calculated values
volume = 54.2 Å³/cell
energy of formation = 0.018 eV/atom